# 1
Density functional theory data (PBE-GGA) for a relaxed Ca2H2S2O7 crystal.

a = 10.815 Å, b = 6.452 Å, c = 10.017 Å
α = 90.00°, β = 90.00°, γ = 90.00°
Space group Pbcn (No. 60)
Symmetry-distinct sites (fractional):
Ca 0.145 0.022 0.128
H 0.048 0.359 0.308
S 0.131 0.334 0.881
O 0.000 0.263 0.250
O 0.049 0.141 0.904
O 0.211 0.278 0.759
O 0.217 0.326 0.003

E = -6.03 eV per atom
Fermi-level density of states = 0.0 states/eV/f.u.

# 2
Density functional theory data (PBE-GGA) for a relaxed Tb6Bi2Ru crystal.

a = 6.896 Å, b = 6.896 Å, c = 13.768 Å
α = 90.00°, β = 90.00°, γ = 90.00°
Space group P4_2/mnm (No. 136)
Symmetry-distinct sites (fractional):
Tb 0.186 0.186 0.144
Tb 0.222 0.222 0.500
Bi 0.000 0.000 0.331
Ru 0.000 0.000 0.000

ΔE_f = -0.20 eV per atom
Fermi-level density of states = 12.1 states/eV/f.u.

# 3
Density functional theory data (PBE-GGA) for a relaxed CuAg4Hg crystal.

a = 7.780 Å, b = 7.780 Å, c = 7.780 Å
α = 90.00°, β = 90.00°, γ = 90.00°
Space group F-43m (No. 216)
Symmetry-distinct sites (fractional):
Cu 0.000 0.000 0.000
Ag 0.125 0.125 0.375
Hg 0.250 0.250 0.750

ΔE_f = 0.29 eV per atom
Fermi-level density of states = 2.4 states/eV/f.u.

# 4
Density functional theory data (PBE-GGA) for a relaxed AcP4Br crystal.

a = 8.009 Å, b = 8.009 Å, c = 8.009 Å
α = 90.00°, β = 90.00°, γ = 90.00°
Space group F-43m (No. 216)
Symmetry-distinct sites (fractional):
Ac 0.000 0.000 0.000
P 0.103 0.103 0.397
Br 0.250 0.250 0.750

Energy relative to the elements, uncorrected = -2.08 eV per formula unit
Fermi-level density of states = 5.7 states/eV/f.u.

# 5
Density functional theory data (PBE-GGA) for a relaxed Ge3IrAu crystal.

a = 4.808 Å, b = 4.808 Å, c = 4.808 Å
α = 90.00°, β = 90.00°, γ = 90.00°
Space group Pm-3m (No. 221)
Symmetry-distinct sites (fractional):
Ge 0.000 0.000 0.500
Ir 0.000 0.000 0.000
Au 0.500 0.500 0.500

ΔE_f = 0.33 eV per atom
Fermi-level density of states = 7.3 states/eV/f.u.

# 6
Density functional theory data (PBE-GGA) for a relaxed CuRuPt2 crystal.

a = 6.195 Å, b = 6.195 Å, c = 6.195 Å
α = 90.00°, β = 90.00°, γ = 90.00°
Space group Fm-3m (No. 225)
Symmetry-distinct sites (fractional):
Cu 0.000 0.000 0.000
Ru 0.000 0.000 0.500
Pt 0.250 0.250 0.250

ΔE_f = 0.20 eV per atom
Fermi-level density of states = 5.4 states/eV/f.u.

# 7
Density functional theory data (PBE-GGA) for a relaxed CdCo5 crystal.

a = 6.740 Å, b = 6.740 Å, c = 6.740 Å
α = 90.00°, β = 90.00°, γ = 90.00°
Space group F-43m (No. 216)
Symmetry-distinct sites (fractional):
Cd 0.000 0.000 0.000
Co 0.125 0.125 0.625
Co 0.250 0.250 0.250

ΔE_f = 0.24 eV per atom
Fermi-level density of states = 7.0 states/eV/f.u.

# 8
Density functional theory data (PBE-GGA) for a relaxed Pt2PbW crystal.

a = 4.128 Å, b = 4.128 Å, c = 8.318 Å
α = 90.00°, β = 90.00°, γ = 90.00°
Space group I4/mmm (No. 139)
Symmetry-distinct sites (fractional):
Pt 0.000 0.500 0.250
Pb 0.000 0.000 0.000
W 0.000 0.000 0.500

ΔE_f = 0.41 eV per atom
Fermi-level density of states = 4.0 states/eV/f.u.